{"formula": "ScTiCrH", "functional": "PBE-GGA", "state": "optimized geometry", "sg": "No. 8", "polymorph_energy_mev_per_atom": 59, "lattice": [[2.281, -2.195, 0.000], [2.281, 2.195, 0.000], [-2.232, 0.000, 5.418]], "species": ["Sc", "Ti", "Cr", "H"], "fractional_positions": [[0.000, 0.000, 0.000], [0.265, 0.265, 0.540], [0.646, 0.646, 0.310], [0.736, 0.736, 0.621]]}

{"formula": "Tb2Sc3Rh2", "functional": "PBE-GGA", "state": "optimized geometry", "ef_ev_per_atom": -0.590, "sg": "No. 12", "lattice": [[5.746, -1.831, 0.000], [5.746, 1.831, 0.000], [-3.791, 0.000, 7.615]], "species": ["Tb", "Tb", "Sc", "Sc", "Sc", "Rh", "Rh"], "fractional_positions": [[0.156, 0.156, 0.302], [0.844, 0.844, 0.698], [0.380, 0.380, 0.067], [0.500, 0.500, 0.500], [0.620, 0.620, 0.933], [0.166, 0.166, 0.737], [0.834, 0.834, 0.263]]}

The records above give, respectively, density of states at the Fermi level values of 2.58, 7.88 states/eV/f.u..